Material: Sr4MnN4
Method: DFT, GGA-PBE
State: relaxed

space-group type = No. 2
DOS(E_F) = 9.93 states/eV/cell
size of the total moment = 2.30 Bohr magnetons per cell
formation energy (no corrections) = -60 kJ per mole of atoms
volume = 359.1 Å³/cell
electronic total energy = -109.64 eV/cell

Cell: 6.2022 6.7433 9.0426 Å, 74.39 96.21 84.64°
Closest atoms and distances in Å follow each position.
Atoms (fractional coordinates):
Sr  0.7627  0.5266  0.1036  4 N 2.57-2.81
Sr  0.2373  0.4734  0.8964  4 N 2.57-2.81
Sr  0.7553  0.1231  0.9047  3 N 2.54-2.56
Sr  0.2447  0.8769  0.0953  3 N 2.54-2.56
Sr  0.7641  0.4211  0.5500  3 N 2.51-2.62
Sr  0.2359  0.5789  0.4500  3 N 2.51-2.62
Sr  0.2718  0.9719  0.6306  4 N 2.59-2.89
Sr  0.7282  0.0281  0.3694  4 N 2.59-2.89
Mn  0.7969  0.7755  0.7364  4 N 1.77-1.79
Mn  0.2031  0.2245  0.2636  4 N 1.77-1.79
N  0.9751  0.6927  0.6158  1 Mn 1.79
N  0.0249  0.3073  0.3842  1 Mn 1.79
N  0.9622  0.7767  0.9096  1 Mn 1.78
N  0.0378  0.2233  0.0904  1 Mn 1.78
N  0.5921  0.6057  0.7772  1 Mn 1.79
N  0.4079  0.3943  0.2228  1 Mn 1.79
N  0.3170  0.9627  0.3510  1 Mn 1.77
N  0.6830  0.0373  0.6490  1 Mn 1.77

***

Material: Zn2AgP
Method: DFT, GGA-PBE
State: relaxed

space-group type = No. 71
E_form = 0.9 eV per formula unit
DOS(E_F) = 1.07 states/eV/cell
size of the total moment = 0.00 Bohr magnetons per cell
volume = 69.0 Å³/cell
electronic total energy = -9.93 eV/cell

Cell: 6.1856 6.1856 6.1856 Å, 154.16 137.82 50.13°
Closest atoms and distances in Å follow each position.
Atoms (fractional coordinates):
Zn  0.7145  0.7145  0.0000  6 Zn 2.74-2.77, 2 P 2.77
Zn  0.2855  0.2855  0.0000  6 Zn 2.74-2.77, 2 P 2.77
Ag  0.0000  0.5000  0.5000  4 P 2.62, 2 Ag 2.77
P  0.5000  0.0000  0.5000  4 Ag 2.62, 2 P 2.77, 4 Zn 2.77

***

Material: Mg6Cd3Ga
Method: DFT, GGA-PBE
State: relaxed

space-group type = No. 11
E_form = -0.9 eV per formula unit
DOS(E_F) = 6.85 states/eV/cell
size of the total moment = 0.00 Bohr magnetons per cell
volume = 425.4 Å³/cell
electronic total energy = -32.54 eV/cell

Cell: 5.0537 8.2963 11.0586 Å, 113.45 90.00 90.00°
Closest atoms and distances in Å follow each position.
Atoms (fractional coordinates):
Mg  0.2500  0.4636  0.0697  7 Cd 3.05-3.16, 5 Mg 3.13-3.19
Mg  0.7500  0.5364  0.9303  7 Cd 3.05-3.16, 5 Mg 3.13-3.19
Mg  0.2500  0.1570  0.1670  4 Cd 3.04-3.13, 8 Mg 3.10-3.23
Mg  0.7500  0.8430  0.8330  4 Cd 3.04-3.13, 8 Mg 3.10-3.23
Mg  0.2500  0.6699  0.6685  1 Ga 2.98, 5 Cd 3.04-3.13, 6 Mg 3.11-3.25
Mg  0.7500  0.3301  0.3315  1 Ga 2.98, 5 Cd 3.04-3.13, 6 Mg 3.11-3.25
Mg  0.2500  0.2535  0.4785  4 Cd 3.01-3.13, 3 Ga 3.02, 5 Mg 3.12-3.25
Mg  0.7500  0.7465  0.5215  4 Cd 3.01-3.13, 3 Ga 3.02, 5 Mg 3.12-3.25
Mg  0.2500  0.8587  0.2851  3 Ga 3.00-3.02, 4 Cd 3.07-3.23, 5 Mg 3.12-3.23
Mg  0.7500  0.1413  0.7149  3 Ga 3.00-3.02, 4 Cd 3.07-3.23, 5 Mg 3.12-3.23
Mg  0.2500  0.0724  0.8638  1 Ga 2.93, 4 Cd 3.06-3.15, 7 Mg 3.10-3.19
Mg  0.7500  0.9276  0.1362  1 Ga 2.93, 4 Cd 3.06-3.15, 7 Mg 3.10-3.19
Cd  0.2500  0.5475  0.3685  9 Mg 3.04-3.13, 2 Cd 3.17, 1 Ga 3.30
Cd  0.7500  0.4525  0.6315  9 Mg 3.04-3.13, 2 Cd 3.17, 1 Ga 3.30
Cd  0.2500  0.3765  0.7742  8 Mg 3.01-3.10, 3 Cd 3.16-3.17, 1 Ga 3.25
Cd  0.7500  0.6235  0.2258  8 Mg 3.01-3.10, 3 Cd 3.16-3.17, 1 Ga 3.25
Cd  0.2500  0.7749  0.9735  11 Mg 3.04-3.23, 1 Cd 3.16
Cd  0.7500  0.2251  0.0265  11 Mg 3.04-3.23, 1 Cd 3.16
Ga  0.2500  0.9626  0.5774  8 Mg 2.93-3.02, 2 Ga 3.25, 1 Cd 3.25
Ga  0.7500  0.0374  0.4226  8 Mg 2.93-3.02, 2 Ga 3.25, 1 Cd 3.25

***

Material: LiSc2Be2
Method: DFT, GGA-PBE
State: relaxed

space-group type = No. 127
E_form = 0.5 eV per formula unit
DOS(E_F) = 7.42 states/eV/cell
size of the total moment = 0.00 Bohr magnetons per cell
volume = 170.6 Å³/cell
electronic total energy = -43.04 eV/cell

Cell: 7.0843 7.0843 3.3997 Å, 90.00 90.00 90.00°
Closest atoms and distances in Å follow each position.
Atoms (fractional coordinates):
Sc  0.1701  0.6701  0.5000  6 Be 2.67-2.74
Sc  0.6701  0.8299  0.5000  6 Be 2.67-2.74
Sc  0.8299  0.3299  0.5000  6 Be 2.67-2.74
Sc  0.3299  0.1701  0.5000  6 Be 2.67-2.74
Be  0.3840  0.8840  0.0000  1 Be 2.32
Be  0.8840  0.6160  0.0000  1 Be 2.32
Be  0.6160  0.1160  0.0000  1 Be 2.32
Be  0.1160  0.3840  0.0000  1 Be 2.32
Li  0.0000  0.0000  0.0000  4 Be 2.84, 8 Sc 3.13
Li  0.5000  0.5000  0.0000  4 Be 2.84, 8 Sc 3.13

***

Material: RePbS3
Method: DFT, GGA-PBE
State: relaxed

space-group type = No. 221
DOS(E_F) = 7.19 states/eV/cell
size of the total moment = 0.00 Bohr magnetons per cell
formation energy (no corrections) = 6 kJ per mole of atoms
volume = 104.6 Å³/cell
electronic total energy = -28.25 eV/cell

Cell: 4.7122 4.7122 4.7122 Å, 90.00 90.00 90.00°
Closest atoms and distances in Å follow each position.
Atoms (fractional coordinates):
Pb  0.5000  0.5000  0.5000  12 S 3.33
Re  0.0000  0.0000  0.0000  6 S 2.36
S  0.0000  0.5000  0.0000  2 Re 2.36
S  0.0000  0.0000  0.5000  2 Re 2.36
S  0.5000  0.0000  0.0000  2 Re 2.36

***

Material: EuTl2As
Method: DFT, GGA-PBE
State: relaxed

space-group type = No. 123
E_form = -1.7 eV per formula unit
DOS(E_F) = 2.59 states/eV/cell
size of the total moment = 6.97 Bohr magnetons per cell
volume = 109.5 Å³/cell
electronic total energy = -21.39 eV/cell

Cell: 5.3472 4.5245 4.5245 Å, 90.00 90.00 90.00°
Closest atoms and distances in Å follow each position.
Atoms (fractional coordinates):
Eu  0.5000  0.0000  0.0000  4 As 3.20, 8 Tl 3.50
Tl  0.0000  0.0000  0.5000  4 Tl 3.20, 4 As 3.50, 4 Eu 3.50
Tl  0.0000  0.5000  0.0000  4 Tl 3.20, 4 As 3.50, 4 Eu 3.50
As  0.5000  0.5000  0.5000  4 Eu 3.20, 8 Tl 3.50

***

Material: CSe2
Method: DFT, GGA-PBE
State: relaxed

space-group type = No. 140
DOS(E_F) = 2.39 states/eV/cell
size of the total moment = 0.00 Bohr magnetons per cell
formation energy (no corrections) = 180 kJ per mole of atoms
volume = 98.0 Å³/cell
electronic total energy = -21.22 eV/cell

Cell: 5.0563 5.0563 5.0563 Å, 113.76 113.76 101.19°
Closest atoms and distances in Å follow each position.
Atoms (fractional coordinates):
C  0.7500  0.7500  0.0000  8 Se 2.61
C  0.2500  0.2500  0.0000  8 Se 2.61
Se  0.3320  0.1680  0.5000  4 C 2.61, 5 Se 2.63-2.91
Se  0.6680  0.8320  0.5000  4 C 2.61, 5 Se 2.63-2.91
Se  0.1680  0.6680  0.8361  4 C 2.61, 5 Se 2.63-2.91
Se  0.8320  0.3320  0.1639  4 C 2.61, 5 Se 2.63-2.91

***

Material: ZrPa3S4
Method: DFT, GGA-PBE
State: relaxed

space-group type = No. 13
DOS(E_F) = 19.44 states/eV/cell
size of the total moment = 0.00 Bohr magnetons per cell
formation energy (no corrections) = -151 kJ per mole of atoms
volume = 321.8 Å³/cell
electronic total energy = -132.17 eV/cell

Cell: 6.6405 6.7026 7.6621 Å, 90.00 90.00 109.34°
Closest atoms and distances in Å follow each position.
Atoms (fractional coordinates):
S  0.9951  0.2441  0.6301  1 Zr 2.64, 5 Pa 2.72-2.78
S  0.4988  0.2386  0.8810  2 Zr 2.67, 4 Pa 2.71-2.78
S  0.4951  0.2441  0.3699  1 Zr 2.64, 5 Pa 2.72-2.78
S  0.9988  0.2386  0.1190  2 Zr 2.67, 4 Pa 2.71-2.78
S  0.0012  0.7614  0.8810  2 Zr 2.67, 4 Pa 2.71-2.78
S  0.5049  0.7559  0.6301  1 Zr 2.64, 5 Pa 2.72-2.78
S  0.5012  0.7614  0.1190  2 Zr 2.67, 4 Pa 2.71-2.78
S  0.0049  0.7559  0.3699  1 Zr 2.64, 5 Pa 2.72-2.78
Pa  0.7500  0.0000  0.3744  6 S 2.71-2.72
Pa  0.2500  0.0000  0.6256  6 S 2.71-2.72
Pa  0.7500  0.5000  0.6255  6 S 2.73-2.78
Pa  0.7500  0.5000  0.1246  6 S 2.72-2.78
Pa  0.2500  0.5000  0.3745  6 S 2.73-2.78
Pa  0.2500  0.5000  0.8754  6 S 2.72-2.78
Zr  0.7500  0.0000  0.8717  6 S 2.64-2.67
Zr  0.2500  0.0000  0.1283  6 S 2.64-2.67